No. 1
DFT (PBE) results for crystalline DyS4Br at its relaxed geometry.

Properties
Crystal system = orthorhombic
Formation energy without anion corrections = -583 meV/atom
Mass density = 4.17 g/cm³
D(E_F) = 6.57 states/eV/cell

abc: 4.654 6.434 10.370
angles: 71.93 89.99 89.95
Fractional positions:
Dy (0.750, 0.879, 0.242)
Dy (0.250, 0.121, 0.758)
S (0.250, 0.659, 0.363)
S (0.000, 0.809, 0.000)
S (0.750, 0.022, 0.637)
S (0.500, 0.808, 0.000)
S (0.750, 0.341, 0.637)
S (0.250, 0.978, 0.363)
S (0.000, 0.191, 0.000)
S (0.500, 0.192, 0.000)
Br (0.750, 0.377, 0.246)
Br (0.250, 0.623, 0.754)

---

No. 2
DFT (PBE) results for crystalline DyS6Br2 at its relaxed geometry.

Properties
Crystal system = triclinic
Formation energy without anion corrections = -541 meV/atom
Mass density = 2.95 g/cm³
D(E_F) = 1.85 states/eV/cell

abc: 4.196 8.444 9.098
angles: 115.59 93.06 91.75
Fractional positions:
Dy (0.000, 0.000, 0.000)
S (0.902, 0.500, 0.278)
S (0.098, 0.500, 0.722)
S (0.876, 0.709, 0.703)
S (0.901, 0.283, 0.540)
S (0.099, 0.717, 0.460)
S (0.124, 0.291, 0.297)
Br (0.499, 0.860, 0.118)
Br (0.501, 0.140, 0.882)